Record 1
{"formula": "Mg2ZnRh2", "functional": "meta-GGA SCAN", "state": "single point on PBEsol structure", "cell": [[6.463, 0.000, 0.000], [0.000, 6.463, 0.000], [0.000, 0.000, 3.821]], "species": ["Mg", "Mg", "Mg", "Mg", "Zn", "Zn", "Rh", "Rh", "Rh", "Rh"], "fractional_positions": [[0.163, 0.337, 0.000], [0.337, 0.837, 0.000], [0.663, 0.163, 0.000], [0.837, 0.663, 0.000], [0.000, 0.000, 0.500], [0.500, 0.500, 0.500], [0.142, 0.642, 0.500], [0.358, 0.142, 0.500], [0.642, 0.858, 0.500], [0.858, 0.358, 0.500]], "space_group": "P4/mbm", "delta_e_f_ev_per_atom": -0.49}

=====

Record 2
{"formula": "LiCdTc2", "functional": "meta-GGA SCAN", "state": "single point on PBEsol structure", "cell": [[3.007, 0.000, 0.000], [0.000, 3.007, 0.000], [0.000, 0.000, 6.666]], "species": ["Li", "Cd", "Tc", "Tc"], "fractional_positions": [[0.000, 0.000, 0.000], [0.500, 0.500, 0.754], [0.000, 0.000, 0.444], [0.500, 0.500, 0.250]], "space_group": "P4mm", "delta_e_f_ev_per_atom": 0.05}

=====

Record 3
{"formula": "Zr4ReSi", "functional": "meta-GGA SCAN", "state": "single point on PBEsol structure", "cell": [[0.000, 3.841, 3.841], [3.841, 0.000, 3.841], [3.841, 3.841, 0.000]], "species": ["Zr", "Zr", "Zr", "Zr", "Re", "Si"], "fractional_positions": [[0.376, 0.376, 0.376], [0.376, 0.376, 0.872], [0.376, 0.872, 0.376], [0.872, 0.376, 0.376], [0.750, 0.750, 0.750], [0.000, 0.000, 0.000]], "e_form_raw_ev_per_atom": 0.64, "space_group": "F-43m"}

=====

Record 4
{"formula": "K2PbO2", "functional": "meta-GGA SCAN", "state": "single point on PBEsol structure", "cell": [[7.310, 0.000, 0.000], [3.600, 6.554, 0.000], [3.446, -0.795, 9.278]], "species": ["K", "K", "K", "K", "K", "K", "K", "K", "Pb", "Pb", "Pb", "Pb", "O", "O", "O", "O", "O", "O", "O", "O"], "fractional_positions": [[0.067, 0.451, 0.168], [0.079, 0.927, 0.172], [0.235, 0.274, 0.495], [0.397, 0.569, 0.861], [0.603, 0.431, 0.139], [0.765, 0.726, 0.505], [0.921, 0.073, 0.828], [0.933, 0.549, 0.832], [0.297, 0.718, 0.474], [0.400, 0.062, 0.866], [0.600, 0.938, 0.134], [0.703, 0.282, 0.526], [0.056, 0.219, 0.985], [0.189, 0.600, 0.349], [0.335, 0.480, 0.632], [0.499, 0.796, 0.006], [0.501, 0.204, 0.994], [0.665, 0.520, 0.368], [0.811, 0.400, 0.651], [0.944, 0.781, 0.015]], "e_form_raw_ev_per_atom": -1.39, "space_group": "P-1"}

=====

Record 5
{"formula": "CrCo6Cu", "functional": "meta-GGA SCAN", "state": "single point on PBEsol structure", "cell": [[3.469, -4.910, 0.000], [3.469, 4.910, 0.000], [0.000, 0.000, 9.829]], "species": ["Cr", "Cr", "Cr", "Cr", "Co", "Co", "Co", "Co", "Co", "Co", "Co", "Co", "Co", "Co", "Co", "Co", "Co", "Co", "Co", "Co", "Co", "Co", "Co", "Co", "Co", "Co", "Co", "Co", "Cu", "Cu", "Cu", "Cu"], "fractional_positions": [[0.000, 0.000, 0.249], [0.000, 0.000, 0.751], [0.246, 0.754, 0.500], [0.754, 0.246, 0.500], [0.000, 0.000, 0.000], [0.000, 0.000, 0.500], [0.122, 0.374, 0.377], [0.122, 0.374, 0.623], [0.124, 0.374, 0.126], [0.124, 0.374, 0.874], [0.249, 0.751, 0.253], [0.249, 0.751, 0.747], [0.374, 0.122, 0.377], [0.374, 0.122, 0.623], [0.374, 0.124, 0.126], [0.374, 0.124, 0.874], [0.500, 0.500, 0.000], [0.500, 0.500, 0.500], [0.626, 0.876, 0.126], [0.626, 0.876, 0.874], [0.626, 0.878, 0.377], [0.626, 0.878, 0.623], [0.751, 0.249, 0.253], [0.751, 0.249, 0.747], [0.876, 0.626, 0.126], [0.876, 0.626, 0.874], [0.878, 0.626, 0.377], [0.878, 0.626, 0.623], [0.249, 0.751, 0.000], [0.500, 0.500, 0.250], [0.500, 0.500, 0.750], [0.751, 0.249, 0.000]], "space_group": "Cmmm", "delta_e_f_ev_per_atom": 0.12}

=====

Record 6
{"formula": "ZrTeIr3", "functional": "meta-GGA SCAN", "state": "single point on PBEsol structure", "cell": [[4.754, 0.000, 0.000], [0.000, 4.754, 0.000], [0.000, 0.000, 4.754]], "species": ["Zr", "Te", "Ir", "Ir", "Ir"], "fractional_positions": [[0.000, 0.000, 0.000], [0.500, 0.500, 0.500], [0.000, 0.500, 0.500], [0.500, 0.000, 0.500], [0.500, 0.500, 0.000]], "e_form_raw_ev_per_atom": 1.22, "space_group": "Pm-3m"}

=====

> What is the formula in the fourth record?

K2PbO2